Dy4Ru6O19: relaxed, PBE.

Cell lengths 7.7702, 7.7702, 7.7702 Å; angles 109.47, 109.47, 109.47 degrees
With the nearest neighbours (Å) after each atom.
Positions (direct):
Dy 0.0000 0.0000 0.7046  7 O 2.30-2.43
Dy 0.0000 0.7046 0.0000  7 O 2.30-2.43
Dy 0.2954 0.2954 0.2954  7 O 2.30-2.43
Dy 0.7046 0.0000 0.0000  7 O 2.30-2.43
Ru 0.1389 0.6389 0.5000  6 O 1.96-2.04
Ru 0.3611 0.5000 0.8611  6 O 1.96-2.04
Ru 0.5000 0.1389 0.6389  6 O 1.96-2.04
Ru 0.5000 0.8611 0.3611  6 O 1.96-2.04
Ru 0.6389 0.5000 0.1389  6 O 1.96-2.04
Ru 0.8611 0.3611 0.5000  6 O 1.96-2.04
O 0.0000 0.0000 0.0000  4 Dy 2.30
O 0.0000 0.3194 0.3194  2 Ru 2.04
O 0.0000 0.6806 0.6806  2 Ru 2.04
O 0.0561 0.3054 0.6835  2 Ru 1.96-1.98
O 0.2493 0.9439 0.6274  2 Ru 1.96-1.98
O 0.3054 0.6835 0.0561  2 Ru 1.96-1.98
O 0.3165 0.6219 0.3726  2 Ru 1.96-1.98
O 0.3194 0.0000 0.3194  2 Ru 2.04
O 0.3194 0.3194 0.0000  2 Ru 2.04
O 0.3726 0.3165 0.6219  2 Ru 1.96-1.98
O 0.3781 0.6946 0.7507  2 Ru 1.96-1.98
O 0.6219 0.3726 0.3165  2 Ru 1.96-1.98
O 0.6274 0.2493 0.9439  2 Ru 1.96-1.98
O 0.6806 0.0000 0.6806  2 Ru 2.04
O 0.6806 0.6806 0.0000  2 Ru 2.04
O 0.6835 0.0561 0.3054  2 Ru 1.96-1.98
O 0.6946 0.7507 0.3781  2 Ru 1.96-1.98
O 0.7507 0.3781 0.6946  2 Ru 1.96-1.98
O 0.9439 0.6274 0.2493  2 Ru 1.96-1.98

## Properties
**Magnetization**: 8.12 μB/cell
**Uncorrected formation energy**: -1.7821 eV/atom
**D(E_F)**: 0.472 states/eV/atom
**E**: -7.584 eV/atom